(1)
Sr2Li4N: relaxed, PBE-GGA.

Values from the calculation:
- DFT total energy (eV/atom) = -2.91
- volume (Å³/cell) = 194
- energy relative to the elements, uncorrected (eV per formula unit) = -1.02
- total magnetization (μB/cell) = 0.649

abc: 12.7125 12.7125 12.7125
angles: 162.09 162.09 25.43
Closest atoms and distances in Å follow each position.
Fractional positions:
1 Sr 0.1828 0.1828 0.0000  4 Li 3.83, 4 Sr 3.96
2 Sr 0.8172 0.8172 0.0000  4 Li 3.83, 4 Sr 3.96
3 Li 0.0000 0.5000 0.5000  2 N 1.98
4 Li 0.4227 0.4227 0.0000  1 N 1.92
5 Li 0.5000 0.0000 0.5000  2 N 1.98
6 Li 0.5773 0.5773 0.0000  1 N 1.92
7 N 0.5000 0.5000 0.0000  6 Li 1.92-1.98

***

(2)
ZrTi2Zn: relaxed, PBE-GGA.

Values from the calculation:
- DFT total energy (eV/atom) = -6.49
- volume (Å³/cell) = 71
- total magnetization (μB/cell) = 0.000
- ΔH_f (0 K) (eV/atom) = -0.092

abc: 4.1316 4.1316 4.1510
angles: 90.00 90.00 90.00
Closest atoms and distances in Å follow each position.
Fractional positions:
1 Zr 0.0000 0.0000 0.0000  4 Zn 2.92, 8 Ti 2.93
2 Ti 0.0000 0.5000 0.5000  4 Ti 2.92, 4 Zr 2.93, 4 Zn 2.93
3 Ti 0.5000 0.0000 0.5000  4 Ti 2.92, 4 Zr 2.93, 4 Zn 2.93
4 Zn 0.5000 0.5000 0.0000  4 Zr 2.92, 8 Ti 2.93

***

(3)
ScCo2W: relaxed, PBE-GGA.

Values from the calculation:
- DFT total energy (eV/atom) = -8.42
- volume (Å³/cell) = 57
- total magnetization (μB/cell) = 0.385
- ΔH_f (0 K) (eV/atom) = -0.049

abc: 2.8781 2.8781 6.8384
angles: 90.00 90.00 90.00
Closest atoms and distances in Å follow each position.
Fractional positions:
1 Sc 0.0000 0.0000 0.0000  8 Co 2.74, 4 Sc 2.88
2 Co 0.5000 0.5000 0.2677  4 W 2.58, 4 Sc 2.74, 4 Co 2.88
3 Co 0.5000 0.5000 0.7323  4 W 2.58, 4 Sc 2.74, 4 Co 2.88
4 W 0.0000 0.0000 0.5000  8 Co 2.58, 4 W 2.88

***

(4)
YScZnOs: relaxed, PBE-GGA.

Values from the calculation:
- DFT total energy (eV/atom) = -6.64
- volume (Å³/cell) = 77
- total magnetization (μB/cell) = 0.000
- ΔH_f (0 K) (eV/atom) = -0.311

abc: 4.7787 4.7787 4.7787
angles: 60.00 60.00 60.00
Closest atoms and distances in Å follow each position.
Fractional positions:
1 Y 0.0000 0.0000 0.0000  4 Os 2.93, 4 Zn 2.93
2 Sc 0.5000 0.5000 0.5000  4 Os 2.93, 4 Zn 2.93
3 Zn 0.2500 0.2500 0.2500  4 Sc 2.93, 4 Y 2.93
4 Os 0.7500 0.7500 0.7500  4 Sc 2.93, 4 Y 2.93

***

Looking at theoretical density for the records above, in order, we have 1.856, 5.914, 10.162, 8.382 g/cm3.